{
  "formula": "YAlPdPt",
  "functional": "PBE",
  "state": "optimized geometry",
  "total_energy_ev_per_cell": -51.48,
  "space_group": "No. 187",
  "lattice": [[4.356, 0.000, 0.000], [-2.178, 3.772, 0.000], [0.000, 0.000, 9.223]],
  "species": ["Y", "Y", "Al", "Al", "Pd", "Pd", "Pt", "Pt"],
  "fractional_positions": [[0.000, 0.000, 0.000], [0.333, 0.667, 0.500], [0.667, 0.333, 0.257], [0.667, 0.333, 0.743], [0.333, 0.667, 0.165], [0.333, 0.667, 0.835], [0.000, 0.000, 0.326], [0.000, 0.000, 0.674]]
}